VASP calculation (PBE) on crystalline LiPrZn2 at its relaxed geometry.

Computed properties:
As for the energy above the most stable polymorph in this dataset: 0.000 eV per atom. The space-group type is Fm-3m. The value obtained for the size of the total moment is 0.0 Bohr magnetons per cell.

```
LiPrZn2
1.0
4.921 0.000 0.000
2.461 4.262 0.000
2.461 1.421 4.018
Li Zn Pr
1 2 1
Direct
0.500 0.500 0.500
0.750 0.750 0.750
0.250 0.250 0.250
0.000 0.000 0.000
```